[1]
Computed, not measured: crystalline ZnPtN3 at its relaxed geometry at the PBE-GGA level of DFT.

Cell lengths 3.803, 3.803, 3.803 Å; angles 90.00, 90.00, 90.00 degrees
Space group Pm-3m (No. 221)
Asymmetric unit:
Zn (0.000, 0.000, 0.000)
Pt (0.500, 0.500, 0.500)
N (0.000, 0.000, 0.500)

Calculated values
Spin magnetization: 0.00 μB/f.u.
Formation energy from raw total energies: 222.6 kJ/mol of atoms
Volume: 11.0 A^3/atom
ρ: 9.1 g/cm3


[2]
Computed, not measured: crystalline Zr3PtN at its relaxed geometry at the PBE-GGA level of DFT.

Cell lengths 4.447, 4.447, 6.413 Å; angles 90.00, 90.00, 90.00 degrees
Space group P4mm (No. 99)
Asymmetric unit:
Zr (0.000, 0.000, 0.000)
Zr (0.000, 0.500, 0.352)
Pt (0.000, 0.000, 0.595)
N (0.500, 0.500, 0.313)

Calculated values
Spin magnetization: 0.00 μB/f.u.
Formation energy from raw total energies: -8.5 kJ/mol of atoms
Volume: 25.4 A^3/atom
ρ: 6.3 g/cm3


[3]
Computed, not measured: crystalline Zr3PtN at its relaxed geometry at the PBE-GGA level of DFT.

Cell lengths 4.600, 5.675, 7.863 Å; angles 97.54, 90.06, 113.91 degrees
Space group P-1 (No. 2)
Asymmetric unit:
Zr (0.030, 0.060, 0.310)
Zr (0.271, 0.542, 0.841)
Zr (0.335, 0.670, 0.446)
Pt (0.439, 0.879, 0.142)
N (0.150, 0.300, 0.570)

Calculated values
Spin magnetization: 0.00 μB/f.u.
Formation energy from raw total energies: -99.0 kJ/mol of atoms
Volume: 18.6 A^3/atom
ρ: 8.6 g/cm3


[4]
Computed, not measured: crystalline Zr3PtN at its relaxed geometry at the PBE-GGA level of DFT.

Cell lengths 3.056, 6.733, 12.974 Å; angles 90.00, 90.00, 90.00 degrees
Space group Amm2 (No. 38)
Asymmetric unit:
Zr (0.000, 0.000, 0.000)
Zr (0.500, 0.226, 0.821)
Pt (0.500, 0.000, 0.176)
N (0.000, 0.000, 0.812)

Calculated values
Spin magnetization: 0.00 μB/f.u.
Formation energy from raw total energies: -27.4 kJ/mol of atoms
Volume: 26.7 A^3/atom
ρ: 6.0 g/cm3


[5]
Computed, not measured: crystalline Zr3PtN at its relaxed geometry at the PBE-GGA level of DFT.

Cell lengths 5.222, 5.222, 14.957 Å; angles 90.00, 90.00, 90.00 degrees
Space group I-4m2 (No. 119)
Asymmetric unit:
Zr (0.000, 0.000, 0.216)
Zr (0.000, 0.258, 0.606)
Pt (0.000, 0.500, 0.151)
N (0.000, 0.000, 0.500)
N (0.000, 0.500, 0.750)

Calculated values
Spin magnetization: 0.00 μB/f.u.
Formation energy from raw total energies: -26.2 kJ/mol of atoms
Volume: 20.4 A^3/atom
ρ: 7.9 g/cm3


[6]
Computed, not measured: crystalline Zr3PtN at its relaxed geometry at the PBE-GGA level of DFT.

Cell lengths 5.629, 5.656, 6.204 Å; angles 67.32, 84.00, 76.75 degrees
Space group P1 (No. 1)
Asymmetric unit:
Zr (0.000, 0.000, 0.000)
Zr (0.074, 0.073, 0.467)
Zr (0.297, 0.493, 0.874)
Zr (0.373, 0.539, 0.341)
Zr (0.537, 0.985, 0.781)
Zr (0.839, 0.575, 0.583)
Pt (0.531, 0.004, 0.244)
Pt (0.830, 0.512, 0.135)
N (0.183, 0.276, 0.676)
N (0.929, 0.787, 0.780)

Calculated values
Spin magnetization: 0.00 μB/f.u.
Formation energy from raw total energies: -94.9 kJ/mol of atoms
Volume: 17.7 A^3/atom
ρ: 9.0 g/cm3


[7]
Computed, not measured: crystalline Zr3PtN at its relaxed geometry at the PBE-GGA level of DFT.

Cell lengths 4.884, 11.452, 6.762 Å; angles 90.00, 90.00, 90.00 degrees
Space group Imma (No. 74)
Asymmetric unit:
Zr (0.000, 0.113, 0.125)
Zr (0.000, 0.250, 0.594)
Pt (0.000, 0.000, 0.500)
N (0.000, 0.250, 0.909)

Calculated values
Spin magnetization: 0.00 μB/f.u.
Formation energy from raw total energies: -83.5 kJ/mol of atoms
Volume: 18.9 A^3/atom
ρ: 8.5 g/cm3


[8]
Computed, not measured: crystalline Zr3PtN at its relaxed geometry at the PBE-GGA level of DFT.

Cell lengths 4.7602, 4.7602, 8.7781 Å; angles 90.00, 90.00, 120.00 degrees
Space group P6_3/mmc (No. 194)
Asymmetric unit:
Zr (0.0000, 0.0000, 0.2500)
Zr (0.3333, 0.6667, 0.0728)
Pt (0.3333, 0.6667, 0.7500)
N (0.0000, 0.0000, 0.0000)

Calculated values
Spin magnetization: 0.00 μB/f.u.
Formation energy from raw total energies: -59.7 kJ/mol of atoms
Volume: 17.2 A^3/atom
ρ: 9.3 g/cm3